(1)
# ZrNiSb2

ZrNiSb2 after structural relaxation (GGA-PBE, Alexandria).

Summary:
E_tot: -5.79 eV per atom
formation energy from raw total energies: -14.4 kJ per mole of atoms
size of the total moment: 0.0 μB per formula unit

a b c (Å): 4.0547 4.0547 19.6931
angles (deg): 90.00 90.00 120.00
With the nearest neighbours (Å) after each atom.
Space group R3m (No. 160, hexagonal axes)
Symmetry-distinct sites (fractional):
Zr1 0.0000 0.0000 0.0000 [3 per cell]  3 Ni 2.64
Ni1 0.0000 0.0000 0.2713 [3 per cell]  3 Sb 2.53, 3 Zr 2.64
Sb1 0.0000 0.0000 0.5562 [3 per cell]  3 Ni 2.53
Sb2 0.0000 0.0000 0.7620 [3 per cell]  3 Zr 3.00

(2)
# ZrNi2Sb

ZrNi2Sb after structural relaxation (GGA-PBE, Alexandria).

Summary:
E_tot: -6.48 eV per atom
formation energy from raw total energies: -41.0 kJ per mole of atoms
size of the total moment: 0.0 μB per formula unit

a b c (Å): 4.3433 5.8963 5.0353
angles (deg): 90.00 90.06 90.00
With the nearest neighbours (Å) after each atom.
Space group P2_1/m (No. 11)
Symmetry-distinct sites (fractional):
Zr1 0.2503 0.2500 0.1724 [2 per cell]  8 Ni 2.76-2.92, 4 Sb 2.98-3.06
Ni1 0.2497 0.0058 0.6674 [4 per cell]  3 Sb 2.56-2.63, 2 Ni 2.75, 2 Zr 2.76
Sb1 0.2504 0.7500 0.2565 [2 per cell]  6 Ni 2.56-2.63

- What is the formula in the second record?
  ZrNi2Sb

- Which formula does entry 2 have?
  ZrNi2Sb